# KBaVO4

KBaVO4 after structural relaxation (PBE with a Hubbard U, Alexandria via LeMat-Bulk).

Fermi-level density of states   0.00 states/eV/cell
E_tot   -46.48 eV/f.u.

Structure (CIF):
```
data_KBaVO4
_cell_length_a 6.3778
_cell_length_b 5.9264
_cell_length_c 7.7890
_cell_angle_alpha 90.00
_cell_angle_beta 100.23
_cell_angle_gamma 90.00
_symmetry_space_group_name_H-M 'P 1 21/m 1'
_symmetry_Int_Tables_number 11
loop_
_symmetry_equiv_pos_as_xyz
'x,y,z'
'-x,-y,-z'
'-x,y+1/2,-z'
'x,-y+1/2,z'
loop_
_atom_site_label
_atom_site_type_symbol
_atom_site_fract_x
_atom_site_fract_y
_atom_site_fract_z
K1 K 0.2354 0.2500 0.4518
Ba1 Ba 0.2703 0.2500 0.9478
V1 V 0.2602 0.7500 0.2011
O1 O 0.0642 0.7500 0.3309
O2 O 0.1302 0.7500 0.9841
O3 O 0.4270 0.5144 0.2279
```